First-principles (PBE) data for a relaxed CrSe2Cl crystal, as listed in the Alexandria database.

```
4
Lattice="4.774 0.000 0.000 2.387 4.135 0.000 2.387 1.378 3.898" Properties=species:S:1:pos:R:3 pbc="T T T"
Se 0.000 0.000 0.000
Se 2.387 1.378 0.975
Cr 7.161 4.135 2.924
Cl 4.774 2.756 1.949
```

## Properties
ΔE_f (raw) = 0.39 eV/atom
energy above the most stable polymorph in this dataset = 19.94 kcal/mol of atoms


First-principles (PBE) data for a relaxed Cr3SeCl crystal, as listed in the Alexandria database.

```
5
Lattice="4.469 0.000 0.000 0.000 4.469 0.000 0.000 0.000 4.469" Properties=species:S:1:pos:R:3 pbc="T T T"
Cl 2.235 2.235 2.235
Cr 0.000 2.235 0.000
Cr 0.000 0.000 2.235
Cr 2.235 0.000 0.000
Se 0.000 0.000 0.000
```

## Properties
ΔE_f (raw) = 1.38 eV/atom
energy above the most stable polymorph in this dataset = 9.67 kcal/mol of atoms


First-principles (PBE) data for a relaxed CrSeCl2 crystal, as listed in the Alexandria database.

```
4
Lattice="3.199 0.002 0.000 -1.085 3.009 0.000 0.000 0.000 9.683" Properties=species:S:1:pos:R:3 pbc="T T T"
Cl 1.057 1.506 3.287
Cl 0.000 0.000 9.536
Cr 0.000 0.000 4.893
Se 1.057 1.506 6.491
```

## Properties
ΔE_f (raw) = -0.13 eV/atom
energy above the most stable polymorph in this dataset = 11.48 kcal/mol of atoms


First-principles (PBE) data for a relaxed CrSeCl2 crystal, as listed in the Alexandria database.

```
4
Lattice="-0.466 4.417 -1.671 0.462 -1.628 -4.434 -3.326 -1.817 2.858" Properties=species:S:1:pos:R:3 pbc="T T T"
Cl -0.466 4.417 -1.672
Cl -1.433 -1.025 -2.314
Se -1.897 1.998 -0.932
Cr -0.002 1.394 -3.053
```

## Properties
ΔE_f (raw) = 0.22 eV/atom
energy above the most stable polymorph in this dataset = 19.61 kcal/mol of atoms


First-principles (PBE) data for a relaxed CrSe3Cl crystal, as listed in the Alexandria database.

```
5
Lattice="4.974 0.000 0.000 0.000 4.974 0.000 0.000 0.000 4.974" Properties=species:S:1:pos:R:3 pbc="T T T"
Cr 2.487 2.487 2.487
Cl 0.000 0.000 0.000
Se 2.487 0.000 0.000
Se 0.000 0.000 2.487
Se 0.000 2.487 0.000
```

## Properties
ΔE_f (raw) = 0.97 eV/atom
energy above the most stable polymorph in this dataset = 17.65 kcal/mol of atoms


First-principles (PBE) data for a relaxed CrSeCl2 crystal, as listed in the Alexandria database.

```
4
Lattice="3.246 0.000 0.000 0.000 3.246 0.000 0.000 0.000 8.090" Properties=species:S:1:pos:R:3 pbc="T T T"
Cl 0.000 0.000 7.528
Cl 1.623 1.623 2.742
Cr 0.000 0.000 4.307
Se 1.623 1.623 5.648
```

## Properties
ΔE_f (raw) = -0.09 eV/atom
energy above the most stable polymorph in this dataset = 12.34 kcal/mol of atoms


First-principles (PBE) data for a relaxed CrSeCl2 crystal, as listed in the Alexandria database.

```
4
Lattice="3.209 0.000 0.000 0.000 6.986 0.587 0.000 4.707 5.201" Properties=species:S:1:pos:R:3 pbc="T T T"
Cr 1.605 2.923 1.447
Cl 0.000 1.409 0.698
Cl 0.000 4.438 2.196
Se 1.605 8.769 4.341
```

## Properties
ΔE_f (raw) = -0.63 eV/atom
energy above the most stable polymorph in this dataset = 0.09 kcal/mol of atoms


First-principles (PBE) data for a relaxed CrSeCl2 crystal, as listed in the Alexandria database.

```
4
Lattice="-1.099 -2.699 -3.982 4.922 -0.287 -0.186 -0.089 -2.769 1.901" Properties=species:S:1:pos:R:3 pbc="T T T"
Cl 0.000 0.000 0.000
Cl 1.912 -1.493 -2.084
Se 2.416 -1.528 0.857
Cr -0.594 -2.734 -1.040
```

## Properties
ΔE_f (raw) = 0.38 eV/atom
energy above the most stable polymorph in this dataset = 23.36 kcal/mol of atoms


First-principles (PBE) data for a relaxed CrSe2Cl crystal, as listed in the Alexandria database.

```
4
Lattice="-3.837 2.045 -2.497 1.492 -2.316 -4.190 -1.755 -2.421 0.713" Properties=species:S:1:pos:R:3 pbc="T T T"
Cr -0.132 -2.369 -1.738
Se -1.173 -0.135 -3.343
Se 0.000 0.000 0.000
Cl -2.796 -0.188 -0.892
```

## Properties
ΔE_f (raw) = 0.45 eV/atom
energy above the most stable polymorph in this dataset = 21.34 kcal/mol of atoms


First-principles (PBE) data for a relaxed CrSeCl2 crystal, as listed in the Alexandria database.

```
4
Lattice="3.382 0.025 0.000 -1.836 2.841 0.000 0.000 0.000 11.342" Properties=species:S:1:pos:R:3 pbc="T T T"
Cl 0.000 0.000 4.496
Cl 0.000 0.000 1.175
Cr 0.773 1.433 2.835
Se 0.773 1.433 8.506
```

## Properties
ΔE_f (raw) = -0.27 eV/atom
energy above the most stable polymorph in this dataset = 8.39 kcal/mol of atoms


First-principles (PBE) data for a relaxed CrSe2Cl crystal, as listed in the Alexandria database.

```
4
Lattice="0.000 3.319 3.319 3.319 0.000 3.319 3.319 3.319 0.000" Properties=species:S:1:pos:R:3 pbc="T T T"
Se 4.979 4.979 4.979
Se 1.660 1.660 1.660
Cl 0.000 0.000 0.000
Cr 3.319 3.319 3.319
```

## Properties
ΔE_f (raw) = 0.35 eV/atom
energy above the most stable polymorph in this dataset = 19.03 kcal/mol of atoms


First-principles (PBE) data for a relaxed CrSeCl2 crystal, as listed in the Alexandria database.

```
4
Lattice="7.308 0.180 0.017 4.579 5.699 -0.017 -5.473 -3.891 2.890" Properties=species:S:1:pos:R:3 pbc="T T T"
Cl 3.739 2.975 1.437
Cl 0.809 0.400 0.000
Se 2.169 -1.236 1.454
Cr 5.640 2.790 0.000
```

## Properties
ΔE_f (raw) = -0.45 eV/atom
energy above the most stable polymorph in this dataset = 4.12 kcal/mol of atoms


First-principles (PBE) data for a relaxed CrSeCl crystal, as listed in the Alexandria database.

```
3
Lattice="-3.347 1.140 -0.299 0.653 -3.390 0.821 -0.047 1.555 6.458" Properties=species:S:1:pos:R:3 pbc="T T T"
Cr -2.029 0.154 2.252
Cl -0.006 0.185 0.768
Se -0.706 -1.034 3.961
```

## Properties
ΔE_f (raw) = -0.81 eV/atom


First-principles (PBE) data for a relaxed CrSe2Cl crystal, as listed in the Alexandria database.

```
4
Lattice="-0.963 0.722 -3.343 -4.093 -1.673 0.818 -0.136 7.122 1.577" Properties=species:S:1:pos:R:3 pbc="T T T"
Cl -2.588 3.239 1.445
Se -3.487 -0.887 0.813
Se -1.892 6.950 0.158
Cr -3.569 5.042 0.229
```

## Properties
ΔE_f (raw) = -0.42 eV/atom
energy above the most stable polymorph in this dataset = 1.34 kcal/mol of atoms


First-principles (PBE) data for a relaxed CrSeCl crystal, as listed in the Alexandria database.

```
3
Lattice="4.421 0.000 0.000 2.211 3.829 0.000 2.211 1.276 3.610" Properties=species:S:1:pos:R:3 pbc="T T T"
Cl 4.421 2.553 1.805
Cr 2.211 1.276 0.903
Se 0.000 0.000 0.000
```

## Properties
ΔE_f (raw) = -0.27 eV/atom


First-principles (PBE) data for a relaxed CrSe2Cl crystal, as listed in the Alexandria database.

```
4
Lattice="-1.719 -1.282 2.624 2.736 0.358 1.968 -2.257 6.882 1.885" Properties=species:S:1:pos:R:3 pbc="T T T"
Se 0.143 0.653 2.601
Se -2.147 6.547 1.793
Cl -1.298 3.960 1.084
Cr -1.322 5.120 3.825
```

## Properties
ΔE_f (raw) = 0.06 eV/atom
energy above the most stable polymorph in this dataset = 12.47 kcal/mol of atoms


First-principles (PBE) data for a relaxed CrSe2Cl crystal, as listed in the Alexandria database.

```
4
Lattice="-0.777 0.056 2.817 2.405 -1.510 0.694 4.723 8.048 1.141" Properties=species:S:1:pos:R:3 pbc="T T T"
Cr 4.356 5.309 2.612
Se 4.305 7.335 1.040
Se 2.780 4.737 0.672
Cl 1.995 1.285 2.041
```

## Properties
ΔE_f (raw) = -0.04 eV/atom
energy above the most stable polymorph in this dataset = 10.09 kcal/mol of atoms


First-principles (PBE) data for a relaxed Cr2SeCl crystal, as listed in the Alexandria database.

```
4
Lattice="4.806 0.000 0.000 2.403 4.162 0.000 2.403 1.387 3.924" Properties=species:S:1:pos:R:3 pbc="T T T"
Cl 4.806 2.775 1.962
Cr 7.209 4.162 2.943
Cr 0.000 0.000 0.000
Se 2.403 1.387 0.981
```

## Properties
ΔE_f (raw) = 0.59 eV/atom
energy above the most stable polymorph in this dataset = 17.57 kcal/mol of atoms


First-principles (PBE) data for a relaxed Cr2SeCl crystal, as listed in the Alexandria database.

```
4
Lattice="-2.866 -1.223 -1.997 -2.201 -3.444 5.268 -1.922 2.813 1.036" Properties=species:S:1:pos:R:3 pbc="T T T"
Se -2.394 0.795 -0.481
Cl -2.061 -0.316 3.152
Cr 0.000 0.000 0.000
Cr -2.534 -2.333 1.636
```

## Properties
ΔE_f (raw) = -0.02 eV/atom
energy above the most stable polymorph in this dataset = 3.52 kcal/mol of atoms


First-principles (PBE) data for a relaxed CrSeCl crystal, as listed in the Alexandria database.

```
3
Lattice="7.833 -0.082 0.054 6.558 3.336 -0.098 1.275 -1.502 3.074" Properties=species:S:1:pos:R:3 pbc="T T T"
Cl 13.718 3.010 0.116
Cr 5.637 0.080 2.037
Se 10.703 1.917 0.832
```

## Properties
ΔE_f (raw) = -0.45 eV/atom